(1)
The following is a DFT calculation (PBE-GGA) of a relaxed Li4GePb crystal.

a b c (Å): 3.061 4.473 8.002
angles (deg): 90.00 92.52 90.00
Atoms (fractional coordinates):
Li1 0.000 0.000 0.000
Li2 0.098 0.500 0.462
Li3 0.717 0.500 0.164
Li4 0.851 0.000 0.629
Ge1 0.419 0.000 0.315
Pb1 0.423 0.500 0.812

Output
energy of formation: -0.282 eV per atom
total magnetization: 0.0 μB/f.u.
theoretical density: 4.67 g cm⁻³
relative energy among the computed polymorphs: 8 meV per atom
crystal system: monoclinic

(2)
The following is a DFT calculation (PBE-GGA) of a relaxed Li6GePb2 crystal.

a b c (Å): 8.055 8.055 3.091
angles (deg): 90.00 90.00 120.00
Atoms (fractional coordinates):
Li1 0.000 0.279 0.000
Li2 0.000 0.650 0.500
Li3 0.279 0.000 0.000
Li4 0.350 0.350 0.500
Li5 0.650 0.000 0.500
Li6 0.721 0.721 0.000
Ge1 0.000 0.000 0.500
Pb1 0.333 0.667 0.000
Pb2 0.667 0.333 0.000

Output
energy of formation: -0.286 eV per atom
total magnetization: 0.0 μB/f.u.
theoretical density: 5.05 g cm⁻³
crystal system: hexagonal

(3)
The following is a DFT calculation (PBE-GGA) of a relaxed Li8GePb2 crystal.

a b c (Å): 7.938 7.938 5.776
angles (deg): 95.70 95.70 34.09
Atoms (fractional coordinates):
Li1 0.028 0.028 0.266
Li2 0.145 0.145 0.666
Li3 0.333 0.333 0.573
Li4 0.407 0.407 0.073
Li5 0.593 0.593 0.927
Li6 0.667 0.667 0.427
Li7 0.855 0.855 0.334
Li8 0.972 0.972 0.734
Ge1 0.500 0.500 0.500
Pb1 0.208 0.208 0.148
Pb2 0.792 0.792 0.852

Output
energy of formation: -0.280 eV per atom
total magnetization: 0.0 μB/f.u.
theoretical density: 4.44 g cm⁻³
crystal system: monoclinic

(4)
The following is a DFT calculation (PBE-GGA) of a relaxed Li3GePb crystal.

a b c (Å): 5.055 5.055 5.055
angles (deg): 90.00 90.00 90.00
Atoms (fractional coordinates):
Li1 0.000 0.000 0.500
Li2 0.000 0.500 0.000
Li3 0.500 0.000 0.000
Ge1 0.500 0.500 0.500
Pb1 0.000 0.000 0.000

Output
energy of formation: 0.362 eV per atom
total magnetization: 0.0 μB/f.u.
theoretical density: 3.87 g cm⁻³
relative energy among the computed polymorphs: 615 meV per atom
crystal system: cubic

(5)
The following is a DFT calculation (PBE-GGA) of a relaxed Li2Ge2Pb crystal.

a b c (Å): 6.540 6.540 6.540
angles (deg): 141.80 141.80 55.13
Atoms (fractional coordinates):
Li1 0.250 0.750 0.500
Li2 0.750 0.250 0.500
Ge1 0.104 0.104 0.000
Ge2 0.896 0.896 0.000
Pb1 0.500 0.500 0.000

Output
energy of formation: -0.110 eV per atom
total magnetization: 0.0 μB/f.u.
theoretical density: 5.73 g cm⁻³
relative energy among the computed polymorphs: 49 meV per atom
crystal system: tetragonal

(6)
The following is a DFT calculation (PBE-GGA) of a relaxed LiGe3Pb crystal.

a b c (Å): 4.784 4.784 4.784
angles (deg): 90.00 90.00 90.00
Atoms (fractional coordinates):
Li1 0.000 0.000 0.000
Ge1 0.000 0.000 0.500
Ge2 0.000 0.500 0.000
Ge3 0.500 0.000 0.000
Pb1 0.500 0.500 0.500

Output
energy of formation: 0.354 eV per atom
total magnetization: 0.0 μB/f.u.
theoretical density: 6.55 g cm⁻³
relative energy among the computed polymorphs: 0 meV per atom
crystal system: cubic

(7)
The following is a DFT calculation (PBE-GGA) of a relaxed Li3GePb crystal.

a b c (Å): 6.950 6.950 6.950
angles (deg): 94.13 104.95 132.06
Atoms (fractional coordinates):
Li1 0.244 0.001 0.743
Li2 0.249 0.018 0.266
Li3 0.249 0.482 0.731
Li4 0.259 0.501 0.257
Li5 0.751 0.518 0.269
Li6 0.751 0.982 0.734
Ge1 0.565 0.499 0.565
Ge2 0.934 0.999 0.435
Pb1 0.598 0.001 0.097
Pb2 0.903 0.501 0.903

Output
energy of formation: -0.144 eV per atom
total magnetization: 0.0 μB/f.u.
theoretical density: 4.41 g cm⁻³
relative energy among the computed polymorphs: 110 meV per atom
crystal system: orthorhombic

(8)
The following is a DFT calculation (PBE-GGA) of a relaxed LiGePb crystal.

a b c (Å): 7.413 7.413 6.319
angles (deg): 90.00 90.00 130.53
Atoms (fractional coordinates):
Li1 0.250 0.250 0.250
Li2 0.250 0.250 0.750
Li3 0.750 0.750 0.250
Li4 0.750 0.750 0.750
Ge1 0.114 0.886 0.999
Ge2 0.386 0.614 0.499
Ge3 0.614 0.386 0.501
Ge4 0.886 0.114 0.001
Pb1 0.167 0.833 0.502
Pb2 0.333 0.667 0.002
Pb3 0.667 0.333 0.998
Pb4 0.833 0.167 0.498

Output
energy of formation: -0.095 eV per atom
total magnetization: 0.0 μB/f.u.
theoretical density: 7.22 g cm⁻³
relative energy among the computed polymorphs: 0 meV per atom
crystal system: orthorhombic

(9)
The following is a DFT calculation (PBE-GGA) of a relaxed Li2GePb2 crystal.

a b c (Å): 7.010 7.010 4.470
angles (deg): 90.00 90.00 90.00
Atoms (fractional coordinates):
Li1 0.143 0.357 0.000
Li2 0.357 0.857 0.000
Li3 0.643 0.143 0.000
Li4 0.857 0.643 0.000
Ge1 0.000 0.000 0.000
Ge2 0.500 0.500 0.000
Pb1 0.172 0.672 0.500
Pb2 0.328 0.172 0.500
Pb3 0.672 0.828 0.500
Pb4 0.828 0.328 0.500

Output
energy of formation: -0.111 eV per atom
total magnetization: 0.0 μB/f.u.
theoretical density: 7.57 g cm⁻³
relative energy among the computed polymorphs: 0 meV per atom
crystal system: tetragonal

(10)
The following is a DFT calculation (PBE-GGA) of a relaxed Li4GePb crystal.

a b c (Å): 5.392 5.392 5.944
angles (deg): 121.44 121.44 49.59
Atoms (fractional coordinates):
Li1 0.153 0.153 0.326
Li2 0.179 0.179 0.862
Li3 0.821 0.821 0.138
Li4 0.847 0.847 0.674
Ge1 0.500 0.500 0.000
Pb1 0.500 0.500 0.500

Output
energy of formation: -0.290 eV per atom
total magnetization: 0.0 μB/f.u.
theoretical density: 4.74 g cm⁻³
relative energy among the computed polymorphs: 0 meV per atom
crystal system: monoclinic

(11)
The following is a DFT calculation (PBE-GGA) of a relaxed Li5GePb6 crystal.

a b c (Å): 8.775 8.775 8.775
angles (deg): 146.55 130.32 61.22
Atoms (fractional coordinates):
Li1 0.000 0.000 0.000
Li2 0.170 0.670 0.500
Li3 0.343 0.343 0.000
Li4 0.657 0.657 0.000
Li5 0.830 0.330 0.500
Ge1 0.500 0.000 0.500
Pb1 0.075 0.831 0.244
Pb2 0.236 0.500 0.736
Pb3 0.414 0.169 0.244
Pb4 0.586 0.831 0.756
Pb5 0.764 0.500 0.264
Pb6 0.925 0.169 0.756

Output
energy of formation: -0.183 eV per atom
total magnetization: 0.0 μB/f.u.
theoretical density: 7.97 g cm⁻³
crystal system: orthorhombic

(12)
The following is a DFT calculation (PBE-GGA) of a relaxed LiGePb crystal.

a b c (Å): 4.732 4.732 3.540
angles (deg): 90.00 90.00 120.00
Atoms (fractional coordinates):
Li1 0.000 0.000 0.000
Ge1 0.667 0.333 0.898
Pb1 0.333 0.667 0.499

Output
energy of formation: -0.040 eV per atom
total magnetization: 0.0 μB/f.u.
theoretical density: 6.94 g cm⁻³
relative energy among the computed polymorphs: 56 meV per atom
crystal system: trigonal

> Which value of energy of formation does entry 11 give?

-0.183 eV per atom

> What is the total magnetization in the ninth record?

0.0 μB/f.u.

> Number 7 is which compound?

Li3GePb